# ScRe2Cl | Alexandria via LeMat-Bulk | PBE | relaxed
# formation energy from raw total energies	0.645	eV per atom
# crystal system	orthorhombic
data_ScRe2Cl
_chemical_formula_sum 'Sc2 Re4 Cl2'
_symmetry_space_group_name_H-M 'C m m m'
_symmetry_Int_Tables_number 65
_symmetry_space_group_name_Hall '-C 2 2'
_cell_length_a 4.9032
_cell_length_b 10.5017
_cell_length_c 2.7718
_cell_angle_alpha 90.00
_cell_angle_beta 90.00
_cell_angle_gamma 90.00
loop_
_atom_site_label
_atom_site_type_symbol
_atom_site_fract_x
_atom_site_fract_y
_atom_site_fract_z
Sc1 Sc 0.0000 0.0000 0.0000
Re1 Re 0.2500 0.2500 0.5000
Cl1 Cl 0.0000 0.5000 0.0000

---

# ScRe4Cl | Alexandria via LeMat-Bulk | PBE | relaxed
# formation energy from raw total energies	0.647	eV per atom
# crystal system	cubic
data_ScRe4Cl
_chemical_formula_sum 'Sc4 Re16 Cl4'
_symmetry_space_group_name_H-M 'F -4 3 m'
_symmetry_Int_Tables_number 216
_symmetry_space_group_name_Hall 'F -4 2 3'
_cell_length_a 7.4937
_cell_length_b 7.4937
_cell_length_c 7.4937
_cell_angle_alpha 90.00
_cell_angle_beta 90.00
_cell_angle_gamma 90.00
loop_
_atom_site_label
_atom_site_type_symbol
_atom_site_fract_x
_atom_site_fract_y
_atom_site_fract_z
Sc1 Sc 0.0000 0.0000 0.0000
Re1 Re 0.1244 0.1244 0.3756
Cl1 Cl 0.2500 0.2500 0.7500

---

# ScRe2Cl | Alexandria via LeMat-Bulk | PBE | relaxed
# formation energy from raw total energies	1.016	eV per atom
# crystal system	tetragonal
data_ScRe2Cl
_chemical_formula_sum 'Sc1 Re2 Cl1'
_symmetry_space_group_name_H-M 'P 4/m m m'
_symmetry_Int_Tables_number 123
_symmetry_space_group_name_Hall '-P 4 2'
_cell_length_a 4.4807
_cell_length_b 4.4807
_cell_length_c 3.2053
_cell_angle_alpha 90.00
_cell_angle_beta 90.00
_cell_angle_gamma 90.00
loop_
_atom_site_label
_atom_site_type_symbol
_atom_site_fract_x
_atom_site_fract_y
_atom_site_fract_z
Sc1 Sc 0.0000 0.0000 0.0000
Re1 Re 0.0000 0.5000 0.5000
Cl1 Cl 0.5000 0.5000 0.0000

---

no.,total moment (μB/atom),DOS at the Fermi energy (states/eV/cell)
1,0.052,6.08
2,0.000,24.84
3,0.000,3.77